Computed, not measured: crystalline K2BeTe at its relaxed geometry at the PBE level of DFT.

## Properties
Energy above the lowest structure with this stoichiometry ... 96 kJ/mol of formula units
Uncorrected formation energy ... 80 meV/atom
Electronic total energy ... -2.19 eV per atom

abc: 3.804 3.804 9.997
angles: 90.00 90.00 90.00
Positions (direct):
1 K 0.000 0.000 0.000
2 K 0.500 0.500 0.399
3 Be 0.500 0.500 0.716
4 Te 0.000 0.000 0.663